Compound: GaGe2Bi2
Source: the Alexandria database
Functional: PBE
Structure: relaxed

Cell lengths 8.131, 8.131, 3.910 Å; angles 90.00, 90.00, 90.00 degrees
Atoms (fractional coordinates):
1 Ge 0.870 0.630 0.000
2 Ge 0.370 0.870 0.000
3 Ge 0.130 0.370 0.000
4 Ge 0.630 0.130 0.000
5 Bi 0.839 0.339 0.500
6 Bi 0.661 0.839 0.500
7 Bi 0.161 0.661 0.500
8 Bi 0.339 0.161 0.500
9 Ga 0.000 0.000 0.000
10 Ga 0.500 0.500 0.000

Calculated values
space group: P4/mbm (127)
relative energy among the computed polymorphs: 0.056 eV per atom

Compound: GaGeBi2
Source: the Alexandria database
Functional: PBE
Structure: relaxed

Cell lengths 3.318, 3.318, 11.754 Å; angles 81.89, 81.89, 60.00 degrees
Atoms (fractional coordinates):
1 Ge 0.000 0.000 0.000
2 Bi 0.914 0.914 0.258
3 Bi 0.086 0.086 0.742
4 Ga 0.500 0.500 0.500

Calculated values
space group: R-3m (166)

Compound: GaGe2Bi2
Source: the Alexandria database
Functional: PBE
Structure: relaxed

Cell lengths 8.371, 8.371, 3.836 Å; angles 90.00, 90.00, 90.00 degrees
Atoms (fractional coordinates):
1 Bi 0.840 0.660 0.000
2 Bi 0.340 0.840 0.000
3 Bi 0.660 0.160 0.000
4 Bi 0.160 0.340 0.000
5 Ge 0.375 0.125 0.500
6 Ge 0.625 0.875 0.500
7 Ge 0.875 0.375 0.500
8 Ge 0.125 0.625 0.500
9 Ga 0.000 0.000 0.000
10 Ga 0.500 0.500 0.000

Calculated values
space group: P4/mbm (127)
relative energy among the computed polymorphs: 0.092 eV per atom

Compound: Ga12Ge3Bi5
Source: the Alexandria database
Functional: PBE
Structure: relaxed

Cell lengths 14.151, 14.151, 14.151 Å; angles 109.47, 109.47, 109.47 degrees
Atoms (fractional coordinates):
1 Ga 0.432 0.077 0.334
2 Ga 0.834 0.932 0.077
3 Ga 0.256 0.402 0.834
4 Ga 0.854 0.256 0.423
5 Ga 0.354 0.432 0.098
6 Ga 0.577 0.334 0.932
7 Ga 0.402 0.146 0.568
8 Ga 0.068 0.166 0.423
9 Ga 0.432 0.354 0.598
10 Ga 0.666 0.423 0.568
11 Ga 0.756 0.423 0.354
12 Ga 0.902 0.834 0.756
13 Ga 0.646 0.568 0.902
14 Ga 0.334 0.577 0.432
15 Ga 0.568 0.646 0.402
16 Ga 0.098 0.932 0.354
17 Ga 0.423 0.666 0.068
18 Ga 0.923 0.568 0.166
19 Ga 0.834 0.902 0.256
20 Ga 0.598 0.744 0.666
21 Ga 0.423 0.756 0.854
22 Ga 0.646 0.077 0.244
23 Ga 0.932 0.098 0.854
24 Ga 0.244 0.577 0.646
25 Ga 0.334 0.756 0.402
26 Ga 0.902 0.068 0.646
27 Ga 0.354 0.923 0.756
28 Ga 0.744 0.598 0.166
29 Ga 0.568 0.923 0.666
30 Ga 0.256 0.854 0.923
31 Ga 0.077 0.432 0.834
32 Ga 0.577 0.244 0.146
33 Ga 0.932 0.834 0.577
34 Ga 0.166 0.068 0.923
35 Ga 0.756 0.334 0.902
36 Ga 0.098 0.166 0.244
37 Ga 0.146 0.402 0.068
38 Ga 0.402 0.256 0.334
39 Ga 0.068 0.902 0.146
40 Ga 0.598 0.854 0.432
41 Ga 0.923 0.354 0.256
42 Ga 0.166 0.098 0.744
43 Ga 0.854 0.598 0.932
44 Ga 0.077 0.646 0.744
45 Ga 0.744 0.146 0.077
46 Ga 0.666 0.244 0.598
47 Ga 0.146 0.744 0.577
48 Ga 0.244 0.666 0.098
49 Ge 0.625 0.375 0.750
50 Ge 0.750 0.875 0.625
51 Ge 0.250 0.625 0.875
52 Ge 0.875 0.750 0.125
53 Ge 0.375 0.625 0.250
54 Ge 0.250 0.125 0.375
55 Ge 0.750 0.375 0.125
56 Ge 0.375 0.750 0.625
57 Ge 0.125 0.250 0.875
58 Ge 0.625 0.250 0.375
59 Ge 0.125 0.875 0.750
60 Ge 0.875 0.125 0.250
61 Bi 0.750 0.125 0.875
62 Bi 0.500 0.000 0.500
63 Bi 0.375 0.125 0.750
64 Bi 0.125 0.375 0.250
65 Bi 0.875 0.625 0.750
66 Bi 0.000 0.500 0.000
67 Bi 0.500 0.000 0.000
68 Bi 0.500 0.500 0.000
69 Bi 0.125 0.750 0.375
70 Bi 0.000 0.000 0.500
71 Bi 0.625 0.750 0.875
72 Bi 0.000 0.000 0.000
73 Bi 0.250 0.375 0.625
74 Bi 0.750 0.625 0.375
75 Bi 0.625 0.875 0.250
76 Bi 0.000 0.500 0.500
77 Bi 0.875 0.250 0.625
78 Bi 0.250 0.875 0.125
79 Bi 0.375 0.250 0.125
80 Bi 0.500 0.500 0.500

Calculated values
space group: Ia-3d (230)

Compound: Ga2Ge2Bi
Source: the Alexandria database
Functional: PBE
Structure: relaxed

Cell lengths 4.647, 4.647, 6.136 Å; angles 67.75, 67.75, 90.00 degrees
Atoms (fractional coordinates):
1 Ge 0.380 0.380 0.240
2 Ge 0.620 0.620 0.760
3 Ga 0.250 0.750 0.500
4 Ga 0.750 0.250 0.500
5 Bi 0.000 0.000 0.000

Calculated values
space group: I4/mmm (139)
relative energy among the computed polymorphs: 0.020 eV per atom

Compound: GaGeBi2H
Source: the Alexandria database
Functional: PBE
Structure: relaxed

Cell lengths 5.814, 3.372, 5.814 Å; angles 90.00, 90.00, 90.00 degrees
Atoms (fractional coordinates):
1 Ge 0.500 0.500 0.500
2 Bi 0.000 0.000 0.500
3 Bi 0.500 0.000 0.000
4 H 0.000 0.500 0.000
5 Ga 0.000 0.000 0.000

Calculated values
space group: P4/mmm (123)

Compound: NaGaGeBi2
Source: the Alexandria database
Functional: PBE
Structure: relaxed

Cell lengths 5.675, 5.076, 5.675 Å; angles 90.00, 90.00, 90.00 degrees
Atoms (fractional coordinates):
1 Ga 0.000 0.500 0.000
2 Na 0.500 0.500 0.500
3 Bi 0.000 0.000 0.500
4 Bi 0.500 0.000 0.000
5 Ge 0.000 0.000 0.000

Calculated values
space group: P4/mmm (123)

Compound: NbGaGe2Bi
Source: the Alexandria database
Functional: PBE
Structure: relaxed

Cell lengths 4.854, 5.140, 4.854 Å; angles 90.00, 90.00, 90.00 degrees
Each line ends with the local moment (μB).
Atoms (fractional coordinates):
1 Ge 0.000 0.000 0.500  -0.03
2 Ge 0.500 0.000 0.000  -0.03
3 Ga 0.000 0.000 0.000  0.00
4 Bi 0.500 0.500 0.500  -0.08
5 Nb 0.000 0.500 0.000  1.46

Calculated values
space group: P4/mmm (123)
relative energy among the computed polymorphs: 0.000 eV per atom

Compound: NbGaGe2Bi
Source: the Alexandria database
Functional: PBE
Structure: relaxed

Cell lengths 5.400, 5.179, 5.400 Å; angles 90.00, 90.00, 90.00 degrees
Each line ends with the local moment (μB).
Atoms (fractional coordinates):
1 Nb 0.500 0.500 0.500  -0.19
2 Ge 0.500 0.000 0.000  0.03
3 Ge 0.000 0.000 0.500  0.03
4 Bi 0.000 0.000 0.000  0.01
5 Ga 0.000 0.500 0.000  0.02

Calculated values
space group: P4/mmm (123)
relative energy among the computed polymorphs: 0.911 eV per atom

Compound: GaGeBiO5
Source: the Alexandria database
Functional: PBE
Structure: relaxed

Cell lengths 5.703, 5.703, 7.055 Å; angles 103.19, 103.19, 107.23 degrees
Atoms (fractional coordinates):
1 O 0.103 0.678 0.894
2 O 0.322 0.897 0.606
3 O 0.248 0.374 0.564
4 O 0.752 0.626 0.436
5 O 0.924 0.076 0.750
6 O 0.626 0.752 0.936
7 O 0.374 0.248 0.064
8 O 0.678 0.103 0.394
9 O 0.076 0.924 0.250
10 O 0.897 0.322 0.106
11 Bi 0.685 0.315 0.750
12 Bi 0.315 0.685 0.250
13 Ga 0.000 0.000 0.000
14 Ga 0.000 0.000 0.500
15 Ge 0.674 0.326 0.250
16 Ge 0.326 0.674 0.750

Calculated values
E_form (uncorrected): -1218 kJ/mol of formula units
space group: C2/c (15)

Compound: GaGeBiO2
Source: the Alexandria database
Functional: PBE
Structure: relaxed

Cell lengths 4.001, 5.068, 4.001 Å; angles 90.00, 90.00, 90.00 degrees
Atoms (fractional coordinates):
1 Ga 0.000 0.000 0.000
2 Bi 0.500 0.500 0.500
3 Ge 0.000 0.500 0.000
4 O 0.500 0.000 0.000
5 O 0.000 0.000 0.500

Calculated values
E_form (uncorrected): -122 kJ/mol of formula units
space group: P4/mmm (123)

Compound: GaGe2BiO8
Source: the Alexandria database
Functional: PBE
Structure: relaxed

Cell lengths 5.528, 5.528, 6.398 Å; angles 90.00, 90.00, 120.00 degrees
Each line ends with the local moment (μB).
Atoms (fractional coordinates):
1 Ga 0.000 0.000 0.500  0.00
2 O 0.111 0.310 0.702  0.10
3 O 0.690 0.801 0.702  0.10
4 O 0.199 0.889 0.702  0.10
5 O 0.801 0.111 0.298  0.10
6 O 0.667 0.333 0.960  0.52
7 O 0.310 0.199 0.298  0.10
8 O 0.333 0.667 0.040  0.52
9 O 0.889 0.690 0.298  0.10
10 Ge 0.667 0.333 0.239  -0.01
11 Ge 0.333 0.667 0.761  -0.01
12 Bi 0.000 0.000 0.000  -0.01

Calculated values
E_form (uncorrected): -1319 kJ/mol of formula units
space group: P-3 (147)

Compound: Sr2GaGeBi
Source: the Alexandria database
Functional: PBE
Structure: relaxed

Cell lengths 6.328, 5.401, 6.328 Å; angles 90.00, 90.00, 90.00 degrees
Each line ends with the local moment (μB).
Atoms (fractional coordinates):
1 Sr 0.500 0.000 0.000  0.01
2 Sr 0.000 0.000 0.500  0.01
3 Ga 0.000 0.500 0.000  -0.03
4 Bi 0.000 0.000 0.000  0.03
5 Ge 0.500 0.500 0.500  0.25

Calculated values
space group: P4/mmm (123)

Compound: TlGaGeBi
Source: the Alexandria database
Functional: PBE
Structure: relaxed

Cell lengths 5.289, 5.289, 5.289 Å; angles 60.00, 60.00, 60.00 degrees
Atoms (fractional coordinates):
1 Ge 0.250 0.250 0.250
2 Ga 0.750 0.750 0.750
3 Tl 0.000 0.000 0.000
4 Bi 0.500 0.500 0.500

Calculated values
space group: F-43m (216)

Compound: VGaGe2Bi
Source: the Alexandria database
Functional: PBE
Structure: relaxed

Cell lengths 4.883, 4.883, 4.901 Å; angles 90.00, 90.00, 90.00 degrees
Each line ends with the local moment (μB).
Atoms (fractional coordinates):
1 V 0.000 0.000 0.500  -0.16
2 Ge 0.500 0.000 0.000  0.01
3 Ge 0.000 0.500 0.000  0.01
4 Ga 0.000 0.000 0.000  -0.01
5 Bi 0.500 0.500 0.500  0.03

Calculated values
space group: P4/mmm (123)

Compound: Ga12Bi3H5
Source: the Alexandria database
Functional: PBE
Structure: relaxed

Cell lengths 12.482, 12.482, 12.482 Å; angles 109.47, 109.47, 109.47 degrees
Atoms (fractional coordinates):
1 H 0.750 0.125 0.875
2 H 0.000 0.500 0.500
3 H 0.250 0.375 0.625
4 H 0.875 0.250 0.625
5 H 0.625 0.875 0.250
6 H 0.000 0.000 0.500
7 H 0.625 0.750 0.875
8 H 0.000 0.500 0.000
9 H 0.500 0.500 0.000
10 H 0.500 0.500 0.500
11 H 0.875 0.625 0.750
12 H 0.500 0.000 0.500
13 H 0.750 0.625 0.375
14 H 0.250 0.875 0.125
15 H 0.125 0.375 0.250
16 H 0.500 0.000 0.000
17 H 0.000 0.000 0.000
18 H 0.375 0.125 0.750
19 H 0.375 0.250 0.125
20 H 0.125 0.750 0.375
21 Ga 0.511 0.693 0.093
22 Ga 0.101 0.193 0.182
23 Ga 0.407 0.419 0.601
24 Ga 0.693 0.511 0.593
25 Ga 0.818 0.307 0.899
26 Ga 0.081 0.682 0.489
27 Ga 0.919 0.318 0.511
28 Ga 0.511 0.818 0.919
29 Ga 0.182 0.489 0.581
30 Ga 0.682 0.081 0.989
31 Ga 0.093 0.899 0.081
32 Ga 0.193 0.101 0.682
33 Ga 0.419 0.011 0.818
34 Ga 0.818 0.511 0.419
35 Ga 0.011 0.419 0.318
36 Ga 0.307 0.818 0.399
37 Ga 0.318 0.399 0.807
38 Ga 0.919 0.601 0.907
39 Ga 0.682 0.601 0.193
40 Ga 0.489 0.182 0.081
41 Ga 0.101 0.907 0.419
42 Ga 0.318 0.919 0.011
43 Ga 0.581 0.593 0.899
44 Ga 0.693 0.182 0.601
45 Ga 0.807 0.899 0.318
46 Ga 0.399 0.318 0.307
47 Ga 0.601 0.919 0.407
48 Ga 0.182 0.693 0.101
49 Ga 0.407 0.989 0.307
50 Ga 0.899 0.093 0.581
51 Ga 0.399 0.081 0.593
52 Ga 0.593 0.581 0.399
53 Ga 0.307 0.489 0.407
54 Ga 0.601 0.682 0.693
55 Ga 0.989 0.581 0.682
56 Ga 0.593 0.011 0.693
57 Ga 0.989 0.407 0.807
58 Ga 0.081 0.399 0.093
59 Ga 0.489 0.307 0.907
60 Ga 0.907 0.101 0.919
61 Ga 0.193 0.093 0.011
62 Ga 0.899 0.807 0.818
63 Ga 0.093 0.193 0.511
64 Ga 0.807 0.907 0.989
65 Ga 0.907 0.807 0.489
66 Ga 0.419 0.407 0.101
67 Ga 0.011 0.593 0.193
68 Ga 0.581 0.989 0.182
69 Bi 0.250 0.125 0.375
70 Bi 0.125 0.875 0.750
71 Bi 0.625 0.250 0.375
72 Bi 0.250 0.625 0.875
73 Bi 0.875 0.125 0.250
74 Bi 0.375 0.750 0.625
75 Bi 0.125 0.250 0.875
76 Bi 0.375 0.625 0.250
77 Bi 0.750 0.375 0.125
78 Bi 0.750 0.875 0.625
79 Bi 0.875 0.750 0.125
80 Bi 0.625 0.375 0.750

Calculated values
space group: Ia-3d (230)

Compound: Ga2BiH6
Source: the Alexandria database
Functional: PBE
Structure: relaxed

Cell lengths 5.522, 5.522, 5.522 Å; angles 60.00, 60.00, 60.00 degrees
Atoms (fractional coordinates):
1 H 0.263 0.737 0.263
2 H 0.263 0.263 0.737
3 H 0.737 0.263 0.263
4 H 0.737 0.263 0.737
5 H 0.737 0.737 0.263
6 H 0.263 0.737 0.737
7 Bi 0.000 0.000 0.000
8 Ga 0.250 0.250 0.250
9 Ga 0.750 0.750 0.750

Calculated values
space group: Fm-3m (225)

Compound: Ga2BiH
Source: the Alexandria database
Functional: PBE
Structure: relaxed

Cell lengths 4.693, 4.693, 6.494 Å; angles 68.82, 68.82, 60.00 degrees
Atoms (fractional coordinates):
1 Ga 0.899 0.899 0.302
2 Ga 0.101 0.101 0.698
3 Bi 0.500 0.500 0.500
4 H 0.000 0.000 0.000

Calculated values
space group: R-3m (166)
relative energy among the computed polymorphs: 0.000 eV per atom

So what do the calculations give for raw total energy? Going down the list: -3.7554, -3.5859, -3.7198, -3.3015, -3.6572, -3.4950, -3.1143, -4.4762, -3.5649, -6.1171, -4.5420, -5.7901, -2.8227, -3.2877, -4.2342, -2.9685, -2.6098, -3.1161 eV per atom.